Entry 1:
The following is a DFT calculation (PBE) of crystalline NdSiRu2N at its relaxed geometry.

POSCAR file:
```
NdSiRu2N
1.0
3.820 0.000 0.000
-1.910 5.671 0.000
0.000 0.000 7.162
Nd Si Ru N
2 2 4 2
Direct
0.453 0.906 0.750
0.547 0.094 0.250
0.729 0.458 0.750
0.271 0.542 0.250
0.164 0.328 0.946
0.836 0.672 0.054
0.164 0.328 0.554
0.836 0.672 0.446
0.000 0.000 0.000
0.000 0.000 0.500
```

Space-group type: No. 63
Energy relative to the elements, uncorrected, kJ per mole of atoms: -73

Entry 2:
The following is a DFT calculation (PBE) of crystalline Hg5ClO2 at its relaxed geometry.

POSCAR file:
```
Hg5ClO2
1.0
-7.352 5.024 -0.398
1.485 -8.237 1.591
2.278 1.348 3.702
Hg Cl O
5 1 2
Direct
0.847 0.530 0.988
0.349 0.012 0.979
0.681 0.967 0.913
0.301 0.551 0.199
0.232 0.310 0.639
0.898 0.826 0.542
0.202 0.758 0.188
0.490 0.269 0.775
```

Space-group type: No. 1
Energy relative to the elements, uncorrected, kJ per mole of atoms: -22

Entry 3:
The following is a DFT calculation (PBE) of crystalline BaZn2Si2 at its relaxed geometry.

POSCAR file:
```
BaZn2Si2
1.0
4.174 0.000 0.000
0.000 4.174 0.000
0.000 0.000 6.350
Ba Zn Si
1 2 2
Direct
0.000 0.000 0.000
0.500 0.000 0.500
0.000 0.500 0.500
0.500 0.500 0.729
0.500 0.500 0.271
```

Space-group type: No. 123
Energy relative to the elements, uncorrected, kJ per mole of atoms: -13

Entry 4:
The following is a DFT calculation (PBE) of crystalline YCr2Pt at its relaxed geometry.

POSCAR file:
```
YCr2Pt
1.0
-4.062 -0.389 -0.610
-0.385 -1.786 3.700
-3.623 7.364 5.478
Y Cr Pt
2 4 2
Direct
0.500 0.500 0.000
0.250 0.750 0.500
0.875 0.125 0.250
0.875 0.625 0.250
0.375 0.125 0.750
0.875 0.125 0.750
0.000 0.000 0.000
0.750 0.250 0.500
```

Formation enthalpy at 0 K, eV/atom: 0.3039
Energy above the lowest structure with this stoichiometry, meV per atom: 407
Space-group type: No. 141

Entry 5:
The following is a DFT calculation (PBE) of crystalline CaYBe2 at its relaxed geometry.

POSCAR file:
```
CaYBe2
1.0
-3.408 -0.934 -2.017
1.969 -0.387 -3.148
1.816 -5.845 -0.361
Y Be Ca
1 2 1
Direct
0.500 0.761 0.854
0.000 0.175 0.026
0.500 0.086 0.203
0.000 0.479 0.417
```

Formation enthalpy at 0 K, eV/atom: 0.1999
Energy above the lowest structure with this stoichiometry, meV per atom: 0
Space-group type: No. 38

Entry 6:
The following is a DFT calculation (PBE) of crystalline RbMn2Fe at its relaxed geometry.

POSCAR file:
```
RbMn2Fe
1.0
0.000 3.362 3.362
3.362 0.000 3.362
3.362 3.362 0.000
Mn Fe Rb
2 1 1
Direct
0.250 0.250 0.250
0.750 0.750 0.750
0.000 0.000 0.000
0.500 0.500 0.500
```

Formation enthalpy at 0 K, eV/atom: 1.6762
Energy above the lowest structure with this stoichiometry, meV per atom: 438
Space-group type: No. 225

Entry 7:
The following is a DFT calculation (PBE) of crystalline Tm2ThMg9 at its relaxed geometry.

POSCAR file:
```
Tm2ThMg9
1.0
4.719 0.000 0.000
0.000 4.719 0.000
0.000 0.000 13.730
Tm Th Mg
2 1 9
Direct
0.000 0.000 0.334
0.000 0.000 0.666
0.000 0.000 0.000
0.500 0.500 0.000
0.500 0.500 0.336
0.500 0.500 0.664
0.500 0.000 0.171
0.500 0.000 0.500
0.500 0.000 0.829
0.000 0.500 0.171
0.000 0.500 0.500
0.000 0.500 0.829
```

Formation enthalpy at 0 K, eV/atom: -0.0002
Space-group type: No. 123

Entry 8:
The following is a DFT calculation (PBE) of crystalline ScInOs2 at its relaxed geometry.

POSCAR file:
```
ScInOs2
1.0
3.231 0.000 0.000
0.000 4.825 0.000
0.000 0.000 4.356
In Os Sc
1 2 1
Direct
0.000 0.500 0.500
0.000 0.000 0.000
0.500 0.500 0.000
0.500 0.000 0.500
```

Formation enthalpy at 0 K, eV/atom: 0.2191
Space-group type: No. 47

Entry 9:
The following is a DFT calculation (PBE) of crystalline Sr6Pd2Br3N at its relaxed geometry.

POSCAR file:
```
Sr6Pd2Br3N
1.0
-6.366 2.834 2.690
2.959 -6.133 3.070
5.126 5.456 2.940
Sr Pd Br N
6 2 3 1
Direct
0.934 0.638 0.803
0.768 0.768 0.197
0.066 0.362 0.197
0.638 0.934 0.803
0.232 0.232 0.803
0.362 0.066 0.197
0.333 0.667 0.000
0.667 0.333 0.000
0.163 0.837 0.500
0.837 0.163 0.500
0.500 0.500 0.500
0.000 0.000 0.000
```

Space-group type: No. 12
Energy relative to the elements, uncorrected, kJ per mole of atoms: -108

Entry 10:
The following is a DFT calculation (PBE) of crystalline Ac8InRh2 at its relaxed geometry.

POSCAR file:
```
Ac8InRh2
1.0
-7.343 -0.210 -1.651
0.442 -7.447 -1.021
-1.638 -1.116 7.428
Ac In Rh
8 1 2
Direct
0.752 0.752 0.234
0.752 0.248 0.766
0.752 0.752 0.766
0.752 0.248 0.234
0.248 0.752 0.234
0.248 0.752 0.766
0.248 0.248 0.234
0.248 0.248 0.766
0.500 0.500 0.500
0.500 0.000 0.000
0.000 0.500 0.000
```

Formation enthalpy at 0 K, eV/atom: -0.1049
Energy above the lowest structure with this stoichiometry, meV per atom: 164
Space-group type: No. 123

Entry 11:
The following is a DFT calculation (PBE) of crystalline AuSe2S at its relaxed geometry.

POSCAR file:
```
AuSe2S
1.0
2.308 0.000 7.395
-1.154 1.999 7.395
-1.154 -1.999 7.395
S Au Se
1 1 2
Direct
0.000 0.000 0.000
0.500 0.500 0.500
0.895 0.895 0.895
0.105 0.105 0.105
```

Space-group type: No. 166
Energy relative to the elements, uncorrected, kJ per mole of atoms: 21

Entry 12:
The following is a DFT calculation (PBE) of crystalline Mg2TcCl at its relaxed geometry.

POSCAR file:
```
Mg2TcCl
1.0
8.440 0.001 0.001
7.843 3.118 0.001
7.843 1.502 2.732
Cl Mg Tc
1 2 1
Direct
0.750 0.750 0.750
0.000 0.000 0.000
0.500 0.500 0.500
0.250 0.250 0.250
```

Energy above the lowest structure with this stoichiometry, meV per atom: 55
Space-group type: No. 166
Energy relative to the elements, uncorrected, kJ per mole of atoms: -20